[1]
BaHfMg | PBE | relaxed

Unit cell a=3.478 b=3.478 c=15.599 alpha=84.40 beta=84.15 gamma=90.00
Fractional positions:
Ba  0.000  0.000  0.000
Ba  0.156  0.171  0.749
Hf  0.408  0.411  0.197
Hf  0.853  0.859  0.316
Mg  0.294  0.302  0.445
Mg  0.739  0.749  0.565

SG: P1
D(E_F) in states/eV/cell: 3.0
Formation energy from the elements in eV per formula unit: 0.766

***

[2]
BaHfMg6 | PBE | relaxed

Unit cell a=6.745 b=6.745 c=5.234 alpha=90.00 beta=90.00 gamma=120.00
Fractional positions:
Ba  0.000  0.000  0.000
Hf  0.333  0.667  0.500
Mg  0.018  0.509  0.000
Mg  0.357  0.179  0.500
Mg  0.491  0.509  0.000
Mg  0.491  0.982  0.000
Mg  0.821  0.179  0.500
Mg  0.821  0.643  0.500

SG: P-6m2
D(E_F) in states/eV/cell: 8.0
Formation energy from the elements in eV per formula unit: 1.261

***

[3]
BaHf2Mg2 | PBE | relaxed

Unit cell a=9.266 b=9.266 c=3.240 alpha=90.00 beta=90.00 gamma=90.00
Fractional positions:
Ba  0.000  0.000  0.000
Ba  0.500  0.500  0.000
Hf  0.114  0.386  0.500
Hf  0.386  0.886  0.500
Hf  0.614  0.114  0.500
Hf  0.886  0.614  0.500
Mg  0.172  0.672  0.000
Mg  0.328  0.172  0.000
Mg  0.672  0.828  0.000
Mg  0.828  0.328  0.000

SG: P4/mbm
D(E_F) in states/eV/cell: 13.7
Formation energy from the elements in eV per formula unit: 2.309

***

[4]
BaHfMg6 | PBE | relaxed

Unit cell a=6.815 b=6.815 c=4.607 alpha=90.00 beta=90.00 gamma=90.00
Fractional positions:
Ba  0.000  0.000  0.000
Hf  0.500  0.500  0.000
Mg  0.000  0.500  0.000
Mg  0.278  0.278  0.500
Mg  0.278  0.722  0.500
Mg  0.500  0.000  0.000
Mg  0.722  0.278  0.500
Mg  0.722  0.722  0.500

SG: P4/mmm
D(E_F) in states/eV/cell: 7.7
Formation energy from the elements in eV per formula unit: 1.249

***

[5]
BaHfMg | PBE | relaxed

Unit cell a=3.459 b=5.460 c=11.188 alpha=97.81 beta=90.07 gamma=108.45
Fractional positions:
Ba  0.000  0.000  0.000
Ba  0.287  0.579  0.278
Hf  0.061  0.126  0.492
Hf  0.796  0.596  0.562
Mg  0.249  0.499  0.790
Mg  0.516  0.035  0.707

SG: P1
D(E_F) in states/eV/cell: 7.6
Formation energy from the elements in eV per formula unit: 1.030

***

[6]
BaHfMg | PBE | relaxed

Unit cell a=3.435 b=4.710 c=12.161 alpha=90.00 beta=90.17 gamma=90.00
Fractional positions:
Ba  0.000  0.000  0.000
Ba  0.005  0.500  0.726
Hf  0.499  0.500  0.204
Hf  0.999  0.000  0.284
Mg  0.007  0.500  0.431
Mg  0.505  0.000  0.516

SG: Pm
D(E_F) in states/eV/cell: 7.4
Formation energy from the elements in eV per formula unit: 0.979

***

[7]
BaHf2Mg2 | PBE | relaxed

Unit cell a=9.062 b=9.062 c=9.062 alpha=153.28 beta=153.28 gamma=38.15
Fractional positions:
Ba  0.000  0.000  0.000
Hf  0.250  0.750  0.500
Hf  0.750  0.250  0.500
Mg  0.384  0.384  0.000
Mg  0.616  0.616  0.000

SG: I4/mmm
D(E_F) in states/eV/cell: 5.9
Formation energy from the elements in eV per formula unit: 2.160

***

[8]
BaHfMg2Ni | PBE | relaxed

Unit cell a=5.151 b=5.151 c=4.863 alpha=90.00 beta=90.00 gamma=90.00
Fractional positions:
Ba  0.000  0.000  0.000
Hf  0.500  0.500  0.000
Mg  0.000  0.500  0.500
Mg  0.500  0.000  0.500
Ni  0.500  0.500  0.500

SG: P4/mmm
D(E_F) in states/eV/cell: 3.3
Formation energy from the elements in eV per formula unit: 0.527

***

[9]
BaHf2MgOs | PBE | relaxed

Unit cell a=5.103 b=5.103 c=5.374 alpha=90.00 beta=90.00 gamma=90.00
Fractional positions:
Ba  0.000  0.000  0.000
Hf  0.000  0.500  0.500
Hf  0.500  0.000  0.500
Mg  0.500  0.500  0.000
Os  0.500  0.500  0.500

SG: P4/mmm
D(E_F) in states/eV/cell: 5.8
Formation energy from the elements in eV per formula unit: 1.066

***

[10]
Ba2HfMgPb6 | PBE | relaxed

Unit cell a=7.991 b=10.805 c=8.162 alpha=90.00 beta=90.00 gamma=90.00
Fractional positions:
Ba  0.250  0.001  0.243
Ba  0.250  0.499  0.243
Ba  0.750  0.501  0.757
Ba  0.750  0.999  0.757
Hf  0.250  0.250  0.881
Hf  0.750  0.750  0.119
Mg  0.250  0.750  0.616
Mg  0.750  0.250  0.384
Pb  0.056  0.250  0.563
Pb  0.059  0.750  0.949
Pb  0.250  0.504  0.751
Pb  0.250  0.996  0.751
Pb  0.441  0.750  0.949
Pb  0.444  0.250  0.563
Pb  0.556  0.750  0.437
Pb  0.559  0.250  0.051
Pb  0.750  0.004  0.249
Pb  0.750  0.496  0.249
Pb  0.941  0.250  0.051
Pb  0.944  0.750  0.437

SG: Pmmn
D(E_F) in states/eV/cell: 12.2
Formation energy from the elements in eV per formula unit: -1.227

***

[11]
BaHf3Mn | PBE | relaxed

Unit cell a=5.198 b=5.198 c=5.198 alpha=90.00 beta=90.00 gamma=90.00
Fractional positions:
Ba  0.000  0.000  0.000
Hf  0.000  0.000  0.500
Hf  0.000  0.500  0.000
Hf  0.500  0.000  0.000
Mn  0.500  0.500  0.500

SG: Pm-3m
D(E_F) in states/eV/cell: 10.9
Formation energy from the elements in eV per formula unit: 13.367

***

[12]
BaHf3Mn | PBE | relaxed

Unit cell a=5.026 b=5.026 c=5.026 alpha=90.00 beta=90.00 gamma=90.00
Fractional positions:
Ba  0.000  0.000  0.000
Hf  0.000  0.500  0.500
Hf  0.500  0.000  0.500
Hf  0.500  0.500  0.000
Mn  0.500  0.500  0.500

SG: Pm-3m
D(E_F) in states/eV/cell: 4.2
Formation energy from the elements in eV per formula unit: 2.261

***

[13]
BaNaHf2Mn | PBE | relaxed

Unit cell a=5.168 b=5.168 c=5.555 alpha=90.00 beta=90.00 gamma=90.00
Fractional positions:
Ba  0.000  0.000  0.000
Na  0.000  0.000  0.500
Hf  0.000  0.500  0.500
Hf  0.500  0.000  0.500
Mn  0.500  0.500  0.000

SG: P4/mmm
D(E_F) in states/eV/cell: 10.6
Formation energy from the elements in eV per formula unit: 11.189